No. 1
! In4SnHgPb2, optimized geometry, DFT PBE; values from VASP
&SYSTEM
  ibrav = 0, nat = 8, ntyp = 4
/
ATOMIC_SPECIES
In 114.82 In.upf
Sn 118.71 Sn.upf
Hg 200.59 Hg.upf
Pb 207.20 Pb.upf
ATOMIC_POSITIONS crystal
In 0.0000 0.7387 0.7511
In 0.0000 0.2613 0.2489
In 0.5000 0.7387 0.2433
In 0.5000 0.2613 0.7567
Sn 0.0000 0.5000 0.5000
Hg 0.5000 0.5000 0.0000
Pb 0.0000 0.0000 0.0000
Pb 0.5000 0.0000 0.5000
CELL_PARAMETERS angstrom
-3.3059 0.2891 0.1692
-1.0374 -10.4276 -2.4519
0.1346 -1.9899 6.0313
! magnetization	0.00	μB/f.u.
! crystal system	monoclinic
! formation enthalpy at 0 K	0.03	eV/atom

=====

No. 2
! In2SnHg2Pb6, optimized geometry, DFT PBE; values from VASP
&SYSTEM
  ibrav = 0, nat = 11, ntyp = 4
/
ATOMIC_SPECIES
In 114.82 In.upf
Sn 118.71 Sn.upf
Hg 200.59 Hg.upf
Pb 207.20 Pb.upf
ATOMIC_POSITIONS crystal
In 0.2419 0.7962 0.2880
In 0.7581 0.2038 0.7120
Sn 0.5000 0.0000 0.5000
Hg 0.2714 0.6266 0.8161
Hg 0.7286 0.3734 0.1839
Pb 0.2683 0.1390 0.2954
Pb 0.1362 0.2799 0.9798
Pb 0.7382 0.4024 0.5367
Pb 0.8638 0.7200 0.0202
Pb 0.2618 0.5976 0.4633
Pb 0.7317 0.8610 0.7046
CELL_PARAMETERS angstrom
8.8717 0.8791 0.0826
5.0554 8.8441 -2.2727
-0.4986 -7.3913 6.4879
! magnetization	0.00	μB/f.u.
! crystal system	triclinic
! formation enthalpy at 0 K	0.04	eV/atom

=====

No. 3
! In2Sn2HgPb2, optimized geometry, DFT PBE; values from VASP
&SYSTEM
  ibrav = 0, nat = 7, ntyp = 4
/
ATOMIC_SPECIES
In 114.82 In.upf
Sn 118.71 Sn.upf
Hg 200.59 Hg.upf
Pb 207.20 Pb.upf
ATOMIC_POSITIONS crystal
In 0.7202 0.4404 0.3764
In 0.2798 0.5596 0.6236
Sn 0.5562 0.1124 0.7771
Sn 0.4438 0.8876 0.2229
Hg 0.0000 0.0000 0.5000
Pb 0.1534 0.3068 0.0735
Pb 0.8466 0.6932 0.9265
CELL_PARAMETERS angstrom
5.2753 0.0000 0.0000
-2.6376 5.7985 0.4527
0.0000 -1.1119 6.3831
! magnetization	0.00	μB/f.u.
! crystal system	monoclinic
! formation enthalpy at 0 K	0.04	eV/atom

=====

No. 4
! In4SnHg2Pb, optimized geometry, DFT PBE; values from VASP
&SYSTEM
  ibrav = 0, nat = 8, ntyp = 4
/
ATOMIC_SPECIES
In 114.82 In.upf
Sn 118.71 Sn.upf
Hg 200.59 Hg.upf
Pb 207.20 Pb.upf
ATOMIC_POSITIONS crystal
In 0.0000 0.7553 0.7449
In 0.0000 0.2447 0.2551
In 0.5000 0.7675 0.2323
In 0.5000 0.2325 0.7677
Sn 0.5000 0.5000 0.0000
Hg 0.0000 0.0000 0.0000
Hg 0.5000 0.0000 0.5000
Pb 0.0000 0.5000 0.5000
CELL_PARAMETERS angstrom
-1.9021 2.2194 -3.5312
3.1722 -2.7839 -3.4584
-2.9503 -8.9954 -4.0646
! magnetization	0.00	μB/f.u.
! crystal system	orthorhombic
! formation enthalpy at 0 K	0.02	eV/atom

=====

No. 5
! In2SnHg2Pb4, optimized geometry, DFT PBE; values from VASP
&SYSTEM
  ibrav = 0, nat = 9, ntyp = 4
/
ATOMIC_SPECIES
In 114.82 In.upf
Sn 118.71 Sn.upf
Hg 200.59 Hg.upf
Pb 207.20 Pb.upf
ATOMIC_POSITIONS crystal
In 0.3354 0.6707 0.0314
In 0.6646 0.3293 0.9686
Sn 0.0000 0.0000 0.0000
Hg 0.8594 0.7188 0.3474
Hg 0.1406 0.2812 0.6526
Pb 0.8085 0.6170 0.6874
Pb 0.1915 0.3830 0.3126
Pb 0.5227 0.0454 0.3270
Pb 0.4773 0.9546 0.6730
CELL_PARAMETERS angstrom
3.6165 0.0000 0.0000
-1.8083 8.6434 0.0590
0.0000 -2.8986 8.2951
! magnetization	0.00	μB/f.u.
! crystal system	monoclinic
! formation enthalpy at 0 K	0.03	eV/atom

=====

No. 6
! In2Sn2Hg2Pb, optimized geometry, DFT PBE; values from VASP
&SYSTEM
  ibrav = 0, nat = 7, ntyp = 4
/
ATOMIC_SPECIES
In 114.82 In.upf
Sn 118.71 Sn.upf
Hg 200.59 Hg.upf
Pb 207.20 Pb.upf
ATOMIC_POSITIONS crystal
In 0.7511 0.5021 0.2582
In 0.2489 0.4979 0.7418
Sn 0.6092 0.2183 0.6677
Sn 0.3908 0.7817 0.3323
Hg 0.3238 0.6476 0.0323
Hg 0.6762 0.3524 0.9677
Pb 0.0000 0.0000 0.5000
CELL_PARAMETERS angstrom
-1.7150 1.3069 4.7555
2.6085 -4.4331 -0.7075
8.8887 1.6955 2.7397
! magnetization	0.00	μB/f.u.
! crystal system	monoclinic
! formation enthalpy at 0 K	0.07	eV/atom

=====

Values of DFT total energy, in order: -2.81, -2.90, -2.99, -2.39, -2.74, -2.48, all in eV per atom.